PrErGa: relaxed, PBE.

Calculated values
E_tot (eV per atom): -4.35
Size of the total moment (μB/atom): 0.023

Cell: 5.0315 5.0315 5.0315 Å, 60.00 60.00 60.00°
Last column: nearest neighbours and their distance in Å.
Positions (direct):
1 Er 0.2500 0.2500 0.2500  4 Ga 3.08
2 Ga 0.0000 0.0000 0.0000  4 Pr 3.08, 4 Er 3.08
3 Pr 0.7500 0.7500 0.7500  4 Ga 3.08